A plane-wave DFT calculation with PBE-GGA was carried out for a geometry-optimized CuPtSe2 structure.

The structure in POSCAR format:
```
CuPtSe2
1.0
4.626 0.000 0.000
0.000 4.626 0.000
0.000 0.000 3.152
Cu Pt Se
1 1 2
Direct
0.000 0.000 0.000
0.500 0.500 0.000
0.000 0.500 0.500
0.500 0.000 0.500
```

Output
final energy = -4.02 eV/atom
space-group type = P4/mmm

=====

A plane-wave DFT calculation with PBE-GGA was carried out for a geometry-optimized Sr7Ge2P2 structure.

The structure in POSCAR format:
```
Sr7Ge2P2
1.0
4.842 -5.533 0.000
4.842 5.533 0.000
-2.074 0.000 7.207
Sr Ge P
7 2 2
Direct
0.000 0.000 0.000
0.020 0.582 0.277
0.418 0.980 0.723
0.489 0.489 0.240
0.511 0.511 0.760
0.582 0.020 0.277
0.980 0.418 0.723
0.229 0.229 0.427
0.771 0.771 0.573
0.278 0.722 0.000
0.722 0.278 0.000
```

Output
calculated formation energy = -0.657 eV/atom
space-group type = C2/m